1.
Here is AcCuSi2Pt5 after structural relaxation from Alexandria. Energies are from GGA-PBE.

Energy relative to the elements, uncorrected (eV/atom): -0.662

Cell: 4.1711 4.1711 10.0933 Å, 90.00 90.00 90.00°
Atoms (fractional coordinates):
Ac1 0.0000 0.0000 0.5000
Cu1 0.0000 0.0000 0.0000
Si1 0.5000 0.5000 0.2648
Si2 0.5000 0.5000 0.7352
Pt1 0.0000 0.5000 0.1531
Pt2 0.5000 0.0000 0.1531
Pt3 0.0000 0.5000 0.8469
Pt4 0.5000 0.0000 0.8469
Pt5 0.5000 0.5000 0.5000

2.
Here is Ac2Cu2SiPt4 after structural relaxation from Alexandria. Energies are from GGA-PBE.

Energy relative to the elements, uncorrected (eV/atom): -0.712

Cell: 6.2696 6.2696 6.2696 Å, 95.04 117.14 117.14°
Atoms (fractional coordinates):
Ac1 0.5000 0.7500 0.2500
Ac2 0.5000 0.2500 0.7500
Cu1 0.0000 0.6924 0.6924
Cu2 0.0000 0.3076 0.3076
Si1 0.0000 0.0000 0.0000
Pt1 0.0000 0.7341 0.2659
Pt2 0.4682 0.7341 0.7341
Pt3 0.0000 0.2659 0.7341
Pt4 0.5318 0.2659 0.2659

3.
Here is Ac2Cu3Sn4Pt after structural relaxation from Alexandria. Energies are from GGA-PBE.

Energy relative to the elements (eV per atom): -0.5495

Cell: 4.6720 4.6720 10.6842 Å, 90.00 90.00 90.00°
Atoms (fractional coordinates):
Ac1 0.5000 0.0000 0.2614
Ac2 0.0000 0.5000 0.7386
Cu1 0.0000 0.0000 0.5000
Cu2 0.5000 0.0000 0.8703
Cu3 0.0000 0.5000 0.1297
Sn1 0.5000 0.5000 0.0000
Sn2 0.0000 0.0000 0.0000
Sn3 0.5000 0.0000 0.6258
Sn4 0.0000 0.5000 0.3742
Pt1 0.5000 0.5000 0.5000

no.,V (Å³ per cell)
1,175.6
2,181.1
3,233.2